1.
Cr2Pd2N | Alexandria via LeMat-Bulk | PBE | optimized geometry; volume = 14.51 A^3/atom; VASP energy = -6.404 eV/atom; symmetry = I4/mmm, No. 139; ΔE_f (raw) = 1187 meV/atom
1.0
-1.7315 1.7315 6.0487
1.7315 -1.7315 6.0487
1.7315 1.7315 -6.0487
Cr Pd N
2 2 1
Direct
0.0770 0.0770 0.0000 Cr
0.9230 0.9230 0.0000 Cr
0.2500 0.7500 0.5000 Pd
0.7500 0.2500 0.5000 Pd
0.5000 0.5000 0.0000 N

---

2.
ErNp6Se8 | Alexandria via LeMat-Bulk | PBE | optimized geometry; volume = 25.79 A^3/atom; VASP energy = -8.553 eV/atom; symmetry = Fm-3m, No. 225; ΔE_f (raw) = -1214 meV/atom
1.0
0.0000 5.7831 5.7831
5.7831 0.0000 5.7831
5.7831 5.7831 0.0000
Er Np Se
1 6 8
Direct
0.0000 0.0000 0.0000 Er
0.0000 0.0000 0.5000 Np
0.0000 0.5000 0.0000 Np
0.0000 0.5000 0.5000 Np
0.5000 0.0000 0.0000 Np
0.5000 0.0000 0.5000 Np
0.5000 0.5000 0.0000 Np
0.2500 0.2500 0.2500 Se
0.2498 0.2498 0.7502 Se
0.2498 0.7502 0.2498 Se
0.2498 0.7502 0.7502 Se
0.7502 0.2498 0.2498 Se
0.7502 0.2498 0.7502 Se
0.7502 0.7502 0.2498 Se
0.7500 0.7500 0.7500 Se

---

3.
Pr2NdSm9 | Alexandria via LeMat-Bulk | PBE | optimized geometry; volume = 34.21 A^3/atom; VASP energy = -4.686 eV/atom; symmetry = P6/mmm, No. 191
1.0
11.5387 0.0000 0.0000
-5.7693 9.9928 0.0000
0.0000 0.0000 3.5607
Pr Nd Sm
2 1 9
Direct
0.3333 0.6667 0.0000 Pr
0.6667 0.3333 0.0000 Pr
0.0000 0.0000 0.0000 Nd
0.0000 0.5000 0.0000 Sm
0.1732 0.3465 0.5000 Sm
0.1732 0.8268 0.5000 Sm
0.3465 0.1732 0.5000 Sm
0.5000 0.0000 0.0000 Sm
0.5000 0.5000 0.0000 Sm
0.6535 0.8268 0.5000 Sm
0.8268 0.1732 0.5000 Sm
0.8268 0.6535 0.5000 Sm

---

The N(E_F) results, record by record, are as follows: 1.15; 3.28; 1.28 states/eV/atom.